[1]
Material: TiSnSb3
Method: DFT, PBE
State: optimized geometry

* magnetization: 0.0 μB/cell
* energy relative to the lowest polymorph listed for this composition: 0 meV/atom
* space-group type: No. 221
* N(E_F): 4.4 states/eV/cell
* density: 5.9 Mg/m³
* formation energy from raw total energies: 0.19 eV per atom

The structure in POSCAR format:
```
TiSnSb3
1.0
5.2948 0.0000 0.0000
0.0000 5.2948 0.0000
0.0000 0.0000 5.2948
Ti Sn Sb
1 1 3
Cartesian
0.0000 0.0000 0.0000
2.6474 2.6474 2.6474
0.0000 0.0000 2.6474
0.0000 2.6474 0.0000
2.6474 0.0000 0.0000
```

[2]
Material: PmNd6In5
Method: DFT, PBE
State: optimized geometry

* magnetization: 0.0 μB/cell
* space-group type: No. 71
* N(E_F): 12.0 states/eV/cell
* density: 7.4 Mg/m³
* energy of formation: -0.39 eV/atom

The structure in POSCAR format:
```
PmNd6In5
1.0
-2.5504 4.5554 7.7011
2.5504 -4.5554 7.7011
2.5504 4.5554 -7.7011
Pm Nd In
1 6 5
Cartesian
0.0000 0.0000 0.0000
2.5504 -2.1680 5.0699
2.5504 2.4557 0.0000
0.0000 2.3874 2.6312
2.5504 2.1680 5.0699
0.0000 2.0997 7.7011
0.0000 6.7234 2.6312
2.5504 0.0000 2.3675
0.0000 0.0000 5.0139
0.0000 4.5554 0.0000
0.0000 0.0000 10.3884
0.0000 4.5554 5.3337
```

[3]
Material: Si4TcPt
Method: DFT, PBE
State: optimized geometry

* magnetization: 0.0 μB/cell
* space-group type: No. 216
* N(E_F): 4.3 states/eV/cell
* density: 8.2 Mg/m³
* formation energy from raw total energies: 0.38 eV per atom

The structure in POSCAR format:
```
Si4TcPt
1.0
0.0000 3.4526 3.4526
3.4526 0.0000 3.4526
3.4526 3.4526 0.0000
Si Tc Pt
4 1 1
Cartesian
0.8659 0.8659 0.8659
2.5867 2.5867 0.8659
2.5867 0.8659 2.5867
0.8659 2.5867 2.5867
3.4526 3.4526 3.4526
5.1789 5.1789 5.1789
```

[4]
Material: KScBe2F8
Method: DFT, PBE
State: optimized geometry

* magnetization: 0.1 μB/cell
* space-group type: No. 12
* N(E_F): 0.0 states/eV/cell
* density: 2.3 Mg/m³
* formation energy from raw total energies: -3.45 eV per atom

The structure in POSCAR format:
```
KScBe2F8
1.0
4.2203 -2.6925 0.0000
4.2203 2.6925 0.0000
-0.4201 0.0000 7.9236
K Sc Be F
1 1 2 8
Cartesian
0.0000 0.0000 0.0000
-0.2101 0.0000 3.9618
2.7802 0.0000 5.6995
5.2403 0.0000 2.2241
3.6783 1.2906 5.4124
1.7181 0.0000 4.5189
4.3421 1.2906 2.5112
2.2141 0.0000 7.0742
5.8063 0.0000 0.8494
3.6783 -1.2906 5.4124
6.3024 0.0000 3.4047
4.3421 -1.2906 2.5112
```